Crystalline MnRuN2F at its relaxed geometry. Source: the Alexandria database, functional PBE with a Hubbard U.

Geometry as CIF:
```
data_MnRuN2F
_chemical_formula_sum 'Mn1 Ru1 N2 F1'
_space_group_name_H-M_alt 'P 4/m m m'
_space_group_IT_number 123
_space_group_name_Hall '-P 4 2'
_cell_length_a 3.833
_cell_length_b 3.833
_cell_length_c 4.297
_cell_angle_alpha 90.00
_cell_angle_beta 90.00
_cell_angle_gamma 90.00
loop_
_atom_site_label
_atom_site_fract_x
_atom_site_fract_y
_atom_site_fract_z
_atom_site_occupancy
Mn1 0.000 0.000 0.000 1
Ru1 0.500 0.500 0.500 1
N1 0.000 0.500 0.500 1
F1 0.500 0.500 0.000 1
```

Calculated values
Energy ... -0.251 hartree per atom
Relative energy among the computed polymorphs ... 0 meV/atom